# LaAl2Ge (GGA-PBE, optimized geometry)
data_LaAl2Ge
_chemical_formula_sum 'La4 Al8 Ge4'
_symmetry_space_group_name_H-M 'I -4 2 d'
_symmetry_Int_Tables_number 122
_symmetry_space_group_name_Hall 'I -4 2bw'
_cell_length_a 7.968
_cell_length_b 7.968
_cell_length_c 6.060
_cell_angle_alpha 90.00
_cell_angle_beta 90.00
_cell_angle_gamma 90.00
loop_
_atom_site_label
_atom_site_type_symbol
_atom_site_fract_x
_atom_site_fract_y
_atom_site_fract_z
La1 La 0.000 0.000 0.000
Al1 Al 0.190 0.250 0.625
Ge1 Ge 0.000 0.000 0.500
# final energy: -71.45 eV for the cell shown
# total moment: 0.00 μB per atom
# crystal system: tetragonal

=====

# CsHfCuSe4 (GGA-PBE, optimized geometry)
data_CsHfCuSe4
_chemical_formula_sum 'Cs2 Hf2 Cu2 Se8'
_symmetry_space_group_name_H-M 'P 1 21/m 1'
_symmetry_Int_Tables_number 11
_symmetry_space_group_name_Hall '-P 2yb'
_cell_length_a 6.895
_cell_length_b 5.605
_cell_length_c 10.182
_cell_angle_alpha 90.00
_cell_angle_beta 105.89
_cell_angle_gamma 90.00
loop_
_atom_site_label
_atom_site_type_symbol
_atom_site_fract_x
_atom_site_fract_y
_atom_site_fract_z
Cs1 Cs 0.223 0.250 0.047
Hf1 Hf 0.269 0.250 0.555
Cu1 Cu 0.285 0.750 0.337
Se1 Se 0.004 0.510 0.672
Se2 Se 0.434 0.750 0.580
Se3 Se 0.496 0.750 0.193
# final energy: -69.37 eV for the cell shown
# formation energy (no corrections): -5.842 eV per formula unit
# total moment: 0.00 μB per atom
# crystal system: monoclinic

=====

Please write out number 1 again, unchanged.
# LaAl2Ge (GGA-PBE, optimized geometry)
data_LaAl2Ge
_chemical_formula_sum 'La4 Al8 Ge4'
_symmetry_space_group_name_H-M 'I -4 2 d'
_symmetry_Int_Tables_number 122
_symmetry_space_group_name_Hall 'I -4 2bw'
_cell_length_a 7.968
_cell_length_b 7.968
_cell_length_c 6.060
_cell_angle_alpha 90.00
_cell_angle_beta 90.00
_cell_angle_gamma 90.00
loop_
_atom_site_label
_atom_site_type_symbol
_atom_site_fract_x
_atom_site_fract_y
_atom_site_fract_z
La1 La 0.000 0.000 0.000
Al1 Al 0.190 0.250 0.625
Ge1 Ge 0.000 0.000 0.500
# final energy: -71.45 eV for the cell shown
# total moment: 0.00 μB per atom
# crystal system: tetragonal